Entry 1:
The following is a DFT calculation (PBE-GGA) of a geometry-optimized CeSiIr2 structure.

Lattice parameters (Å, degrees): 3.9844 3.9844 9.5070 90.00 90.00 90.00
Site moments in Bohr magnetons follow the coordinates.
Sites, in units of the cell vectors:
1 Si 0.0000 0.5000 0.3614  0.00
2 Si 0.5000 0.0000 0.6386  0.00
3 Ce 0.0000 0.5000 0.7939  0.15
4 Ce 0.5000 0.0000 0.2061  0.15
5 Ir 0.0000 0.0000 0.5000  0.00
6 Ir 0.5000 0.0000 0.8849  -0.02
7 Ir 0.0000 0.5000 0.1151  -0.02
8 Ir 0.5000 0.5000 0.5000  0.00

Values from the calculation:
- calculated total energy (eV/cell) = -64.94
- symmetry = P4/nmm
- size of the total moment (Bohr magnetons per cell) = 0.3

---

Entry 2:
The following is a DFT calculation (PBE-GGA) of a geometry-optimized Ce2Si6Ir structure.

Lattice parameters (Å, degrees): 5.2086 5.8346 5.8346 60.00 89.96 89.96
Sites, in units of the cell vectors:
1 Si 0.3213 0.3634 0.8185
2 Si 0.6783 0.1818 0.1818
3 Si 0.6787 0.1815 0.6366
4 Si 0.3217 0.8182 0.8182
5 Si 0.6787 0.6366 0.1815
6 Si 0.3213 0.8185 0.3634
7 Ce 0.8240 0.6670 0.6670
8 Ce 0.1760 0.3330 0.3330
9 Ir 0.0000 0.0000 0.0000

Values from the calculation:
- calculated total energy (eV/cell) = -58.73
- symmetry = P-3m1
- size of the total moment (Bohr magnetons per cell) = 0.0

---

Number 1: density of states at the Fermi level 0.617 states/eV per atom. Number 2: density of states at the Fermi level 0.891 states/eV per atom.